# Rb3V2BiO8 PBE+U optimized geometry
data_Rb3V2BiO8
_chemical_formula_sum 'Rb3 V2 Bi1 O8'
_symmetry_space_group_name_H-M 'P -3 m 1'
_symmetry_Int_Tables_number 164
_symmetry_space_group_name_Hall '-P 3 2"'
_cell_length_a 6.1586
_cell_length_b 6.1586
_cell_length_c 8.0441
_cell_angle_alpha 90.00
_cell_angle_beta 90.00
_cell_angle_gamma 120.00
loop_
_atom_site_label
_atom_site_type_symbol
_atom_site_fract_x
_atom_site_fract_y
_atom_site_fract_z
Rb1 Rb 0.0000 0.0000 0.0000
Rb2 Rb 0.3333 0.6667 0.7005
V1 V 0.3333 0.6667 0.2512
Bi1 Bi 0.0000 0.0000 0.5000
O1 O 0.1765 0.3531 0.3241
O2 O 0.3333 0.6667 0.0423
# Total DFT energy (no corrections) (eV per atom): -6.260
# D(E_F) (states/eV per cell): 0.00
# M_tot (μB/f.u.): 0.00